# 1
## Ga7Pd2Au2 (PBE)

Data for a geometry-optimized Ga7Pd2Au2 structure.

Unit cell a=5.6337 b=5.6337 c=6.8052 alpha=90.00 beta=90.00 gamma=105.05
Sites, in units of the cell vectors:
Ga  0.0000  0.0000  0.0000
Ga  0.0000  0.5000  0.3029
Ga  0.0000  0.5000  0.6971
Ga  0.5000  0.0000  0.3029
Ga  0.5000  0.0000  0.6971
Ga  0.5000  0.5000  0.2790
Ga  0.5000  0.5000  0.7210
Pd  0.2007  0.2007  0.5000
Pd  0.7993  0.7993  0.5000
Au  0.2935  0.7065  0.0000
Au  0.7065  0.2935  0.0000

Properties
SG: Cmmm, No. 65
Final energy: -40.6 eV per cell
Formation enthalpy at 0 K: -0.22 eV per atom
Total moment: 0.00 μB per cell
Crystal system: orthorhombic

# 2
## BaScAs2 (PBE)

Data for a geometry-optimized BaScAs2 structure.

Unit cell a=7.4168 b=7.4168 c=7.4168 alpha=90.00 beta=90.00 gamma=90.00
Sites, in units of the cell vectors:
Ba  0.0000  0.0000  0.0000
Ba  0.0000  0.5000  0.5000
Ba  0.5000  0.0000  0.5000
Ba  0.5000  0.5000  0.0000
Sc  0.0000  0.0000  0.5000
Sc  0.0000  0.5000  0.0000
Sc  0.5000  0.0000  0.0000
Sc  0.5000  0.5000  0.5000
As  0.2500  0.2500  0.2500
As  0.2500  0.2500  0.7500
As  0.2500  0.7500  0.2500
As  0.2500  0.7500  0.7500
As  0.7500  0.2500  0.2500
As  0.7500  0.2500  0.7500
As  0.7500  0.7500  0.2500
As  0.7500  0.7500  0.7500

Properties
SG: Fm-3m, No. 225
Final energy: -80.7 eV per cell
Formation enthalpy at 0 K: -0.65 eV per atom
Total moment: 0.00 μB per cell
Crystal system: cubic
E above lowest polymorph: 36.6 kJ/mol of atoms

# 3
## Tb3Pm5Cd (PBE)

Data for a geometry-optimized Tb3Pm5Cd structure.

Unit cell a=9.3684 b=9.3684 c=9.2395 alpha=114.38 beta=114.38 gamma=77.06
Sites, in units of the cell vectors:
Tb  0.0000  0.0000  0.0000
Tb  0.0000  0.0000  0.5000
Tb  0.3007  0.3007  0.2143
Tb  0.3562  0.3562  0.9062
Tb  0.6438  0.6438  0.0938
Tb  0.6993  0.6993  0.7857
Pm  0.0674  0.5980  0.3150
Pm  0.1839  0.1839  0.4239
Pm  0.2571  0.7429  0.0000
Pm  0.4020  0.9326  0.6850
Pm  0.4477  0.4477  0.6454
Pm  0.5523  0.5523  0.3546
Pm  0.5980  0.0674  0.3150
Pm  0.7429  0.2571  0.0000
Pm  0.8161  0.8161  0.5761
Pm  0.9326  0.4020  0.6850
Cd  0.1320  0.1320  0.8562
Cd  0.8680  0.8680  0.1438

Properties
SG: C2/m, No. 12
Final energy: -68.6 eV per cell
Formation enthalpy at 0 K: 0.47 eV per atom
Total moment: 0.00 μB per cell
Crystal system: monoclinic

# 4
## Na2ScHg2 (PBE)

Data for a geometry-optimized Na2ScHg2 structure.

Unit cell a=7.6710 b=7.6710 c=4.4882 alpha=90.00 beta=90.00 gamma=90.00
Sites, in units of the cell vectors:
Na  0.1632  0.3368  0.0000
Na  0.3368  0.8368  0.0000
Na  0.6632  0.1632  0.0000
Na  0.8368  0.6632  0.0000
Sc  0.0000  0.0000  0.5000
Sc  0.5000  0.5000  0.5000
Hg  0.1406  0.6406  0.5000
Hg  0.3594  0.1406  0.5000
Hg  0.6406  0.8594  0.5000
Hg  0.8594  0.3594  0.5000

Properties
SG: P4/mbm, No. 127
Final energy: -19.9 eV per cell
Formation enthalpy at 0 K: -0.07 eV per atom
Total moment: 0.00 μB per cell
Crystal system: tetragonal
E above lowest polymorph: 0.0 kJ/mol of atoms

# 5
## Cu2ReAu (PBE)

Data for a geometry-optimized Cu2ReAu structure.

Unit cell a=2.6757 b=3.7317 c=5.7369 alpha=90.00 beta=90.00 gamma=90.00
Sites, in units of the cell vectors:
Cu  0.0000  0.0000  0.2305
Cu  0.0000  0.0000  0.7695
Re  0.5000  0.5000  0.0000
Au  0.5000  0.5000  0.5000

Properties
SG: Pmmm, No. 47
Final energy: -22.6 eV per cell
Formation enthalpy at 0 K: 0.34 eV per atom
Total moment: 0.00 μB per cell
Crystal system: orthorhombic
E above lowest polymorph: 12.2 kJ/mol of atoms

# 6
## Mn2InIr (PBE)

Data for a geometry-optimized Mn2InIr structure.

Unit cell a=9.0512 b=2.8499 c=4.7269 alpha=90.00 beta=101.99 gamma=90.00
Sites, in units of the cell vectors:
Mn  0.2418  0.0000  0.1983
Mn  0.2582  0.5000  0.8017
Mn  0.7418  0.5000  0.1983
Mn  0.7582  0.0000  0.8017
In  0.0000  0.0000  0.5000
In  0.5000  0.5000  0.5000
Ir  0.0000  0.5000  0.0000
Ir  0.5000  0.0000  0.0000

Properties
SG: C2/m, No. 12
Final energy: -58.0 eV per cell
Formation enthalpy at 0 K: 0.23 eV per atom
Total moment: 6.70 μB per cell
Crystal system: monoclinic

# 7
## Cs3ZrSb (PBE)

Data for a geometry-optimized Cs3ZrSb structure.

Unit cell a=6.6674 b=6.6674 c=6.6674 alpha=90.00 beta=90.00 gamma=90.00
Sites, in units of the cell vectors:
Cs  0.0000  0.0000  0.5000
Cs  0.0000  0.5000  0.0000
Cs  0.5000  0.0000  0.0000
Zr  0.0000  0.0000  0.0000
Sb  0.5000  0.5000  0.5000

Properties
SG: Pm-3m, No. 221
Formation energy without anion corrections: 1020 meV per atom
Final energy: -10.1 eV per cell
Total moment: 3.72 μB per cell
Crystal system: cubic

# 8
## NpGa2Hg (PBE)

Data for a geometry-optimized NpGa2Hg structure.

Unit cell a=6.9709 b=6.9709 c=6.9709 alpha=90.00 beta=90.00 gamma=90.00
Sites, in units of the cell vectors:
Np  0.0000  0.0000  0.0000
Np  0.0000  0.5000  0.5000
Np  0.5000  0.0000  0.5000
Np  0.5000  0.5000  0.0000
Ga  0.2500  0.2500  0.2500
Ga  0.2500  0.2500  0.7500
Ga  0.2500  0.7500  0.2500
Ga  0.2500  0.7500  0.7500
Ga  0.7500  0.2500  0.2500
Ga  0.7500  0.2500  0.7500
Ga  0.7500  0.7500  0.2500
Ga  0.7500  0.7500  0.7500
Hg  0.0000  0.0000  0.5000
Hg  0.0000  0.5000  0.0000
Hg  0.5000  0.0000  0.0000
Hg  0.5000  0.5000  0.5000

Properties
SG: Fm-3m, No. 225
Final energy: -75.9 eV per cell
Formation enthalpy at 0 K: 0.08 eV per atom
Total moment: 16.71 μB per cell
Crystal system: cubic
E above lowest polymorph: 9.7 kJ/mol of atoms